Version one
## SrTeAsSe2 (PBE)

Data for crystalline SrTeAsSe2 at its relaxed geometry.

Lattice parameters (Å, degrees): 5.445 5.445 5.253 90.00 90.00 90.00
Fractional positions:
1 Se 0.500 0.000 0.000
2 Se 0.000 0.500 0.000
3 Te 0.000 0.000 0.000
4 As 0.000 0.000 0.500
5 Sr 0.500 0.500 0.500

Computed properties:
Spin magnetization   0.00 μB per formula unit

=====

Version two
## SrTeAsSe2 (PBE)

Data for crystalline SrTeAsSe2 at its relaxed geometry.

Lattice parameters (Å, degrees): 5.688 5.688 5.919 90.00 90.00 90.00
Each line ends with the local moment (μB).
Fractional positions:
1 Te 0.500 0.500 0.500  0.03
2 Se 0.500 0.000 0.000  0.40
3 Se 0.000 0.500 0.000  0.40
4 Sr 0.000 0.000 0.000  0.02
5 As 0.000 0.000 0.500  0.52

Computed properties:
Spin magnetization   2.52 μB per formula unit

=====

In eV/atom, relative to the most stable structure: version one 0.000; version two 0.857.